[1]
VASP calculation (GGA-PBE) on crystalline MgAgHAu2 at its relaxed geometry.

Summary:
space-group type: P4/mmm (123)
ΔE to the lowest computed polymorph: 24 meV per atom

The structure in POSCAR format:
```
MgAgHAu2
1.0
-4.2282 0.0954 0.4311
0.3376 -1.9768 3.7485
0.2800 3.7008 1.9264
H Mg Au Ag
1 1 2 1
Direct
0.0000 0.0000 0.0000
0.5000 0.5000 0.5000
0.0000 0.5000 0.0000
0.5000 0.0000 0.0000
0.0000 0.0000 0.5000
```

[2]
VASP calculation (GGA-PBE) on crystalline K5Tc2N5 at its relaxed geometry.

Summary:
space-group type: P-1 (2)
uncorrected formation energy: -0.014 eV/atom

The structure in POSCAR format:
```
K5Tc2N5
1.0
3.3759 -0.0205 0.6221
0.9580 6.5852 3.9736
-0.7377 2.9317 12.9977
K Tc N
5 2 5
Direct
0.5000 0.5000 0.5000
0.3743 0.2278 0.0383
0.2425 0.1728 0.3142
0.7575 0.8272 0.6858
0.6257 0.7722 0.9617
0.9708 0.2543 0.8071
0.0292 0.7457 0.1929
0.9355 0.8690 0.2682
0.4087 0.4312 0.7608
0.5913 0.5688 0.2392
0.0645 0.1310 0.7318
0.0000 0.0000 0.0000
```

[3]
VASP calculation (GGA-PBE) on crystalline MnSn2P2 at its relaxed geometry.

Summary:
space-group type: P4/mbm (127)
energy of formation from the pure elements: 58 kJ/mol of formula units

The structure in POSCAR format:
```
MnSn2P2
1.0
5.8585 0.0000 0.0000
0.0000 5.8585 0.0000
0.0000 0.0000 5.1001
P Mn Sn
4 2 4
Direct
0.3618 0.8618 0.0000
0.8618 0.6382 0.0000
0.6382 0.1382 0.0000
0.1382 0.3618 0.0000
0.0000 0.0000 0.0000
0.5000 0.5000 0.0000
0.1928 0.6928 0.5000
0.6928 0.8072 0.5000
0.8072 0.3072 0.5000
0.3072 0.1928 0.5000
```